# 1
CsTiNi2 | GGA-PBE | optimized geometry

a = 6.3913 Å, b = 6.3913 Å, c = 6.3913 Å
α = 110.09°, β = 110.09°, γ = 108.24°
Last column: nearest neighbours and their distance in Å.
Positions (direct):
Cs 0.0000 0.0000 0.0000  8 Ni 3.26-3.54
Cs 0.7500 0.2500 0.5000  8 Ni 3.26-3.54
Ti 0.2500 0.7500 0.5000  4 Ni 2.35
Ti 0.5000 0.5000 0.0000  4 Ni 2.35
Ni 0.2205 0.1250 0.5955  2 Ti 2.35
Ni 0.3750 0.7795 0.9045  2 Ti 2.35
Ni 0.5295 0.6250 0.4045  2 Ti 2.35
Ni 0.8750 0.4705 0.0955  2 Ti 2.35

Computed properties:
* DOS at the Fermi energy: 9.03 states/eV per cell
* E_tot: -4.2005 eV/atom
* E_form: 0.877 eV per atom

# 2
CsTi3Ni | GGA-PBE | optimized geometry

a = 4.9047 Å, b = 4.9047 Å, c = 4.9047 Å
α = 90.00°, β = 90.00°, γ = 90.00°
Last column: nearest neighbours and their distance in Å.
Positions (direct):
Cs 0.0000 0.0000 0.0000  6 Ti 2.45
Ti 0.0000 0.0000 0.5000  2 Cs 2.45
Ti 0.0000 0.5000 0.0000  2 Cs 2.45
Ti 0.5000 0.0000 0.0000  2 Cs 2.45
Ni 0.5000 0.5000 0.5000  12 Ti 3.47

Computed properties:
* DOS at the Fermi energy: 12.20 states/eV per cell
* E_tot: -3.7621 eV/atom
* E_form: 2.302 eV per atom

# 3
Cs3TiNi | GGA-PBE | optimized geometry

a = 6.4756 Å, b = 6.4756 Å, c = 6.4756 Å
α = 90.00°, β = 90.00°, γ = 90.00°
Last column: nearest neighbours and their distance in Å.
Positions (direct):
Cs 0.0000 0.0000 0.5000  2 Ni 3.24
Cs 0.0000 0.5000 0.0000  2 Ni 3.24
Cs 0.5000 0.0000 0.0000  2 Ni 3.24
Ti 0.5000 0.5000 0.5000  12 Cs 4.58
Ni 0.0000 0.0000 0.0000  6 Cs 3.24

Computed properties:
* DOS at the Fermi energy: 19.13 states/eV per cell
* E_tot: -1.8959 eV/atom
* E_form: 1.351 eV per atom

# 4
CsTiNi2 | GGA-PBE | optimized geometry

a = 4.7477 Å, b = 4.7477 Å, c = 4.7477 Å
α = 60.00°, β = 60.00°, γ = 60.00°
Last column: nearest neighbours and their distance in Å.
Positions (direct):
Cs 0.0000 0.0000 0.0000  8 Ni 2.91
Ti 0.5000 0.5000 0.5000  8 Ni 2.91
Ni 0.2500 0.2500 0.2500  4 Ti 2.91, 4 Cs 2.91
Ni 0.7500 0.7500 0.7500  4 Ti 2.91, 4 Cs 2.91

Computed properties:
* DOS at the Fermi energy: 4.09 states/eV per cell
* E_tot: -3.9370 eV/atom
* E_form: 1.141 eV per atom